No. 1
The following is a DFT calculation (GGA-PBE) of crystalline Be3Ir2Pd at its relaxed geometry.

Lattice parameters (Å, degrees): 2.8224 2.8224 8.4217 90.00 90.00 90.00
Sites, in units of the cell vectors:
Be: 0.0000 0.0000 0.6811
Be: 0.0000 0.0000 0.0000
Be: 0.0000 0.0000 0.3189
Pd: 0.5000 0.5000 0.5000
Ir: 0.5000 0.5000 0.1668
Ir: 0.5000 0.5000 0.8332

Properties
* DOS at the Fermi energy: 3.61 states/eV/cell
* symmetry: P4/mmm (123)
* volume: 67 Å³/cell
* uncorrected energy: -6.2810 eV/atom
* energy relative to the elements: -0.5988 eV per atom

---

No. 2
The following is a DFT calculation (GGA-PBE) of crystalline Ti3Al4V4 at its relaxed geometry.

Lattice parameters (Å, degrees): 2.8888 6.9457 9.5246 111.38 98.72 90.00
Sites, in units of the cell vectors:
V: 0.7468 0.2468 0.4936
Al: 0.3567 0.5387 0.7133
Ti: 0.8817 0.8817 0.7634
V: 0.2532 0.7532 0.5064
V: 0.5000 0.8344 0.0000
Al: 0.6433 0.8254 0.2867
V: 0.5000 0.1656 0.0000
Al: 0.3567 0.1746 0.7133
Ti: 0.1183 0.1183 0.2366
Al: 0.6433 0.4613 0.2867
Ti: 0.0000 0.5000 0.0000

Properties
* DOS at the Fermi energy: 9.08 states/eV/cell
* symmetry: Immm (71)
* volume: 176 Å³/cell
* uncorrected energy: -6.7852 eV/atom
* energy relative to the elements: 0.0447 eV per atom

---

No. 3
The following is a DFT calculation (GGA-PBE) of crystalline YTaF at its relaxed geometry.

Lattice parameters (Å, degrees): 3.4365 3.4365 9.0318 90.00 90.00 90.00
Sites, in units of the cell vectors:
Ta: 0.0000 0.5000 0.9251
Y: 0.0000 0.5000 0.3060
F: 0.5000 0.0000 0.4236
Y: 0.5000 0.0000 0.6940
Ta: 0.5000 0.0000 0.0749
F: 0.0000 0.5000 0.5764

Properties
* energy above the lowest structure with this stoichiometry: 4.27 kcal/mol of atoms
* DOS at the Fermi energy: 5.05 states/eV/cell
* symmetry: P4/nmm (129)
* formation energy from raw total energies: -1.43 eV per atom
* volume: 107 Å³/cell
* uncorrected energy: -8.1592 eV/atom